The following is a DFT calculation (PBE) of a relaxed KNa3Th2Te6 crystal.

Unit cell a=4.5978 b=9.5269 c=10.2577 alpha=101.94 beta=102.95 gamma=90.00
With the nearest neighbours (Å) after each atom.
Sites, in units of the cell vectors:
K 0.5000 0.0000 0.0000  6 Te 3.44-3.51
Na 0.5000 0.5000 0.0000  6 Te 3.19-3.38
Na 0.8434 0.1670 0.6867  6 Te 3.22-3.48
Na 0.1566 0.8330 0.3133  6 Te 3.22-3.48
Th 0.8389 0.6704 0.6779  6 Te 3.00-3.26
Th 0.1611 0.3296 0.3221  6 Te 3.00-3.26
Te 0.3213 0.8863 0.6426  2 Th 3.15, 3 Na 3.22-3.48, 1 K 3.51
Te 0.6728 0.5685 0.3457  3 Th 3.21-3.26, 3 Na 3.38-3.48
Te 0.6787 0.1137 0.3574  2 Th 3.15, 3 Na 3.22-3.48, 1 K 3.51
Te 0.0078 0.2722 0.0157  1 Th 3.00, 3 Na 3.19-3.23
Te 0.9922 0.7278 0.9843  1 Th 3.00, 3 Na 3.19-3.23
Te 0.3272 0.4315 0.6543  3 Th 3.21-3.26, 3 Na 3.38-3.48

Crystal system: monoclinic
Raw formation energy in eV per atom: -1.127


The following is a DFT calculation (PBE) of a relaxed KNaThTe3 crystal.

Unit cell a=4.6379 b=11.1870 c=8.5898 alpha=92.90 beta=90.00 gamma=90.00
With the nearest neighbours (Å) after each atom.
Sites, in units of the cell vectors:
K 0.2500 0.3339 0.4198  6 Te 3.44-3.62
K 0.7500 0.6661 0.5802  6 Te 3.44-3.62
Na 0.2500 0.9992 0.7323  6 Te 3.19-3.53
Na 0.7500 0.0008 0.2677  6 Te 3.19-3.53
Th 0.2500 0.6868 0.0902  6 Te 3.01-3.28
Th 0.7500 0.3132 0.9098  6 Te 3.01-3.28
Te 0.7500 0.8271 0.9363  2 Th 3.13, 1 Na 3.37, 1 K 3.47
Te 0.2500 0.1729 0.0637  2 Th 3.13, 1 Na 3.37, 1 K 3.47
Te 0.2500 0.8348 0.3921  1 Th 3.01, 2 Na 3.19
Te 0.7500 0.1652 0.6079  1 Th 3.01, 2 Na 3.19
Te 0.7500 0.5113 0.2045  3 Th 3.22-3.28, 1 K 3.58
Te 0.2500 0.4887 0.7955  3 Th 3.22-3.28, 1 K 3.58

Crystal system: monoclinic
Raw formation energy in eV per atom: -1.162


The following is a DFT calculation (PBE) of a relaxed KNaTiTe3 crystal.

Unit cell a=7.3429 b=7.7938 c=8.6483 alpha=63.22 beta=83.84 gamma=76.22
With the nearest neighbours (Å) after each atom.
Sites, in units of the cell vectors:
K 0.2500 0.2415 0.5170  8 Te 3.69-4.10
K 0.7500 0.7585 0.4830  8 Te 3.69-4.10
Na 0.2500 0.5836 0.8328  5 Te 3.04-3.19
Na 0.7500 0.4164 0.1672  5 Te 3.04-3.19
Ti 0.7500 0.0510 0.8981  5 Te 2.60-2.83
Ti 0.2500 0.9490 0.1019  5 Te 2.60-2.83
Te 0.5053 0.8142 0.9118  2 Ti 2.70-2.83
Te 0.9947 0.2741 0.9118  2 Ti 2.70-2.83
Te 0.7500 0.2194 0.5613  1 Ti 2.60
Te 0.4947 0.1858 0.0882  2 Ti 2.70-2.83
Te 0.0053 0.7259 0.0882  2 Ti 2.70-2.83
Te 0.2500 0.7806 0.4387  1 Ti 2.60

Crystal system: monoclinic
Raw formation energy in eV per atom: -0.824


| no. | final energy (eV/atom) |
| --- | --- |
| 1 | -4.36 |
| 2 | -4.37 |
| 3 | -4.11 |